Cr2AgPb | PBE | relaxed

Magnetization ... 0.00 μB per formula unit
D(E_F) ... 2.69 states/eV/f.u.
ΔE_f ... 706 meV/atom
Crystal system ... monoclinic
VASP energy ... -0.4223 Ry per atom

Unit cell a=5.138 b=5.138 c=5.327 alpha=107.44 beta=107.44 gamma=34.19
Element x y z (fractional)
Cr1 0.248 0.248 0.356
Cr2 0.752 0.752 0.644
Ag1 0.000 0.000 0.500
Pb1 0.500 0.500 0.000


CrAgPb2 | PBE | relaxed

Magnetization ... 4.23 μB per formula unit
D(E_F) ... 2.71 states/eV/f.u.
ΔE_f ... 424 meV/atom
Crystal system ... trigonal
Relative energy among the computed polymorphs ... 0.092 eV/atom
VASP energy ... -0.3344 Ry per atom

Unit cell a=10.519 b=10.519 c=10.519 alpha=18.15 beta=18.15 gamma=18.15
Element x y z (fractional)
Cr1 0.000 0.000 0.000
Ag1 0.267 0.267 0.267
Pb1 0.519 0.519 0.519
Pb2 0.745 0.745 0.745


Cr2AgPb | PBE | relaxed

Magnetization ... 0.00 μB per formula unit
D(E_F) ... 12.52 states/eV/f.u.
ΔE_f ... 1305 meV/atom
Crystal system ... tetragonal
VASP energy ... -0.3783 Ry per atom

Unit cell a=5.834 b=5.834 c=5.834 alpha=102.36 beta=102.36 gamma=124.89
Element x y z (fractional)
Cr1 0.120 0.625 0.995
Cr2 0.375 0.370 0.495
Cr3 0.630 0.125 0.005
Cr4 0.875 0.880 0.505
Ag1 0.000 0.000 0.000
Ag2 0.750 0.250 0.500
Pb1 0.250 0.750 0.500
Pb2 0.500 0.500 0.000


CrAgPb2 | PBE | relaxed

Magnetization ... 4.04 μB per formula unit
D(E_F) ... 1.90 states/eV/f.u.
ΔE_f ... 361 meV/atom
Crystal system ... tetragonal
Relative energy among the computed polymorphs ... 0.029 eV/atom
VASP energy ... -0.3390 Ry per atom

Unit cell a=5.063 b=5.063 c=3.638 alpha=90.00 beta=90.00 gamma=90.00
Element x y z (fractional)
Cr1 0.000 0.000 0.000
Ag1 0.500 0.500 0.000
Pb1 0.000 0.500 0.500
Pb2 0.500 0.000 0.500


CrAg2Pb | PBE | relaxed

Magnetization ... 4.14 μB per formula unit
D(E_F) ... 2.56 states/eV/f.u.
ΔE_f ... 340 meV/atom
Crystal system ... cubic
VASP energy ... -0.3248 Ry per atom

Unit cell a=4.832 b=4.832 c=4.832 alpha=60.00 beta=60.00 gamma=60.00
Element x y z (fractional)
Cr1 0.000 0.000 0.000
Ag1 0.500 0.500 0.500
Ag2 0.750 0.750 0.750
Pb1 0.250 0.250 0.250


CrAg2Pb | PBE | relaxed

Magnetization ... 3.97 μB per formula unit
D(E_F) ... 1.78 states/eV/f.u.
ΔE_f ... 389 meV/atom
Crystal system ... monoclinic
VASP energy ... -0.3212 Ry per atom

Unit cell a=3.119 b=5.098 c=5.128 alpha=90.00 beta=93.98 gamma=90.00
Element x y z (fractional)
Cr1 0.000 0.000 0.000
Ag1 0.239 0.500 0.765
Ag2 0.761 0.500 0.235
Pb1 0.500 0.000 0.500


CrAgPb2 | PBE | relaxed

Magnetization ... 4.35 μB per formula unit
D(E_F) ... 2.66 states/eV/f.u.
ΔE_f ... 490 meV/atom
Crystal system ... cubic
Relative energy among the computed polymorphs ... 0.158 eV/atom
VASP energy ... -0.3295 Ry per atom

Unit cell a=5.165 b=5.165 c=5.165 alpha=60.00 beta=60.00 gamma=60.00
Element x y z (fractional)
Cr1 0.000 0.000 0.000
Ag1 0.750 0.750 0.750
Pb1 0.250 0.250 0.250
Pb2 0.500 0.500 0.500


Cr2AgPb2 | PBE | relaxed

Magnetization ... 0.00 μB per formula unit
D(E_F) ... 3.55 states/eV/f.u.
ΔE_f ... 741 meV/atom
Crystal system ... tetragonal
Relative energy among the computed polymorphs ... 0.178 eV/atom
VASP energy ... -0.3794 Ry per atom

Unit cell a=8.200 b=8.200 c=3.091 alpha=90.00 beta=90.00 gamma=90.00
Element x y z (fractional)
Cr1 0.084 0.416 0.000
Cr2 0.416 0.916 0.000
Cr3 0.584 0.084 0.000
Cr4 0.916 0.584 0.000
Ag1 0.000 0.000 0.500
Ag2 0.500 0.500 0.500
Pb1 0.195 0.695 0.500
Pb2 0.305 0.195 0.500
Pb3 0.695 0.805 0.500
Pb4 0.805 0.305 0.500